(1)
Here is Ce4Ga5Ge2 after structural relaxation from the Alexandria database. Energies are from PBE.

Geometry as POSCAR:
```
Ce4Ga5Ge2
1.0
-3.120 -0.508 3.087
4.937 -2.065 4.650
1.099 7.645 2.369
Ce Ga Ge
4 5 2
Direct
0.500 0.753 0.615
0.500 0.220 0.863
0.500 0.247 0.385
0.500 0.780 0.137
0.000 0.552 0.343
0.000 0.129 0.117
0.000 0.500 0.000
0.000 0.871 0.883
0.000 0.448 0.657
0.000 0.087 0.631
0.000 0.913 0.369
```

Values from the calculation:
Final energy = -4.920 eV per atom
E_form = -0.547 eV per atom
V = 23.0 Å³ per atom
SG = No. 10

***

(2)
Here is Tb2Cd3Cu2 after structural relaxation from the Alexandria database. Energies are from PBE.

Geometry as POSCAR:
```
Tb2Cd3Cu2
1.0
-1.158 1.478 -3.107
-4.010 -0.838 1.097
1.364 9.381 3.953
Tb Cd Cu
2 3 2
Direct
0.000 0.829 0.659
0.000 0.171 0.341
0.500 0.576 0.153
0.500 0.424 0.847
0.000 0.000 0.000
0.500 0.715 0.431
0.500 0.285 0.569
```

Values from the calculation:
Final energy = -3.124 eV per atom
E_form = -0.239 eV per atom
V = 22.1 Å³ per atom
Energy above the most stable polymorph in this dataset = 0.151 eV per formula unit
SG = No. 65

***

(3)
Here is AgBiO2 after structural relaxation from the Alexandria database. Energies are from PBE.

Geometry as POSCAR:
```
AgBiO2
1.0
-2.148 4.761 -0.020
-4.330 -1.945 2.179
-1.106 2.391 6.194
O Bi Ag
4 2 2
Direct
0.647 0.125 0.250
0.103 0.625 0.250
0.375 0.353 0.750
0.875 0.897 0.750
0.000 0.000 0.000
0.750 0.250 0.500
0.500 0.500 0.000
0.250 0.750 0.500
```

Values from the calculation:
Final energy = -4.782 eV per atom
E_form (uncorrected) = -0.62 eV per atom
V = 19.2 Å³ per atom
SG = No. 122

***

(4)
Here is HoCoGe after structural relaxation from the Alexandria database. Energies are from PBE.

Geometry as POSCAR:
```
HoCoGe
1.0
3.703 0.000 0.000
0.000 4.123 0.000
0.000 -2.061 3.570
Ge Co Ho
1 1 1
Direct
0.166 0.333 0.667
0.167 0.000 0.000
0.667 0.667 0.333
```

Values from the calculation:
Final energy = -6.018 eV per atom
E_form = -0.584 eV per atom
V = 18.2 Å³ per atom
SG = No. 187

***

(5)
Here is Rb2OsSeO6 after structural relaxation from the Alexandria database. Energies are from PBE.

Geometry as POSCAR:
```
Rb2OsSeO6
1.0
-1.096 5.042 -1.956
-2.978 1.104 4.512
2.371 4.980 3.722
Rb Os Se O
2 1 1 6
Direct
0.750 0.250 0.500
0.250 0.750 0.500
0.000 0.000 0.000
0.500 0.500 0.000
0.172 0.172 0.655
0.755 0.754 0.000
0.246 0.755 0.000
0.754 0.245 0.000
0.245 0.246 0.000
0.828 0.828 0.345
```

Values from the calculation:
Final energy = -5.656 eV per atom
E_form (uncorrected) = -1.02 eV per atom
V = 16.4 Å³ per atom
SG = No. 139

***

(6)
Here is Ag3Hg2Pd3 after structural relaxation from the Alexandria database. Energies are from PBE.

Geometry as POSCAR:
```
Ag3Hg2Pd3
1.0
-0.356 -3.913 -1.424
2.238 -1.428 3.363
-6.672 -0.874 4.069
Ag Hg Pd
3 2 3
Direct
0.500 0.500 0.254
0.500 0.500 0.746
0.000 0.500 0.000
0.000 0.000 0.256
0.000 0.000 0.744
0.000 0.500 0.500
0.500 0.000 0.000
0.500 0.000 0.500
```

Values from the calculation:
Final energy = -3.202 eV per atom
E_form = -0.110 eV per atom
V = 17.6 Å³ per atom
Energy above the most stable polymorph in this dataset = 0.000 eV per formula unit
SG = No. 47